DFT (PBE+U) results for a relaxed MnNbTcO6 crystal.

Cell lengths 5.2051, 5.2051, 9.3298 Å; angles 90.00, 90.00, 120.00 degrees
Space group P-31c (No. 163)
Asymmetric unit:
Mn: 0.0000 0.0000 0.0000 [2 per cell]
Nb: 0.3333 0.6667 0.2500 [2 per cell]
Tc: 0.3333 0.6667 0.7500 [2 per cell]
O: 0.0044 0.3543 0.6343 [12 per cell]

Properties
mass density	5.19	Mg/m³
energy	-8.232	eV/atom
volume	218.91	Å³ per cell